Ac2Si3Rh2 after structural relaxation, computed with PBE-GGA.

For the raw formation energy, the calculation gives -4.853 eV/f.u. The excess energy over the best structure of this formula in the dataset comes out at 21 meV per atom.

The structure belongs to space group Cmcm (No. 63); the cell edges are 4.5038, 18.6228 and 7.0136 Å and the angles 90.00°, 90.00° and 90.00°. The distinct sites, in fractional coordinates, are Ac at (0.0000, 0.0569, 0.2500), Ac at (0.0000, 0.1602, 0.7500), Si at (0.0000, 0.2234, 0.2500), Si at (0.0000, 0.4405, 0.0738) and Rh at (0.0000, 0.3070, 0.5450).

Ac2SiRh after structural relaxation, computed with PBE-GGA.

For the raw formation energy, the calculation gives -2.686 eV/f.u.

The structure belongs to space group R3m (No. 160, hexagonal axes); the cell edges are 4.3396, 4.3396 and 23.7207 Å and the angles 90.00°, 90.00° and 120.00°. The distinct sites, in fractional coordinates, are Ac at (0.0000, 0.0000, 0.0000), Ac at (0.0000, 0.0000, 0.1661), Si at (0.0000, 0.0000, 0.4137) and Rh at (0.0000, 0.0000, 0.7539).

AcSiRh after structural relaxation, computed with PBE-GGA.

For the raw formation energy, the calculation gives -2.717 eV/f.u. The excess energy over the best structure of this formula in the dataset comes out at 0 meV per atom.

The structure belongs to space group P2_1/c (No. 14); the cell edges are 6.3509, 6.4252 and 7.7983 Å and the angles 90.00°, 119.24° and 90.00°. The distinct sites, in fractional coordinates, are Ac at (0.2016, 0.1432, 0.3938), Si at (0.2816, 0.6394, 0.5715) and Rh at (0.3748, 0.5972, 0.3092).

Ac2Si2Rh3 after structural relaxation, computed with PBE-GGA.

For the raw formation energy, the calculation gives -5.006 eV/f.u. The excess energy over the best structure of this formula in the dataset comes out at 50 meV per atom.

The structure belongs to space group Cmcm (No. 63); the cell edges are 4.2728, 19.0762 and 7.2228 Å and the angles 90.00°, 90.00° and 90.00°. The distinct sites, in fractional coordinates, are Ac at (0.0000, 0.0540, 0.2500), Ac at (0.0000, 0.1599, 0.7500), Si at (0.0000, 0.3162, 0.5768), Rh at (0.0000, 0.2156, 0.2500) and Rh at (0.0000, 0.4327, 0.0578).

Ac3Si2Rh3 after structural relaxation, computed with PBE-GGA.

For the raw formation energy, the calculation gives -6.438 eV/f.u.

The structure belongs to space group Cmcm (No. 63); the cell edges are 4.3710, 11.5132 and 15.2623 Å and the angles 90.00°, 90.00° and 90.00°. The distinct sites, in fractional coordinates, are Ac at (0.0000, 0.0812, 0.1074), Ac at (0.0000, 0.3677, 0.2500), Si at (0.0000, 0.2054, 0.5991), Rh at (0.0000, 0.3130, 0.7500) and Rh at (0.0000, 0.3251, 0.0340).

Ac2Si6Rh9 after structural relaxation, computed with PBE-GGA.

For the raw formation energy, the calculation gives -14.567 eV/f.u.

The structure belongs to space group P6/mmm (No. 191); the cell edges are 5.7990, 5.7990 and 10.4988 Å and the angles 90.00°, 90.00° and 120.00°. The distinct sites, in fractional coordinates, are Ac at (0.0000, 0.0000, 0.1996), Si at (0.3333, 0.6667, 0.1665), Si at (0.3333, 0.6667, 0.5000), Rh at (0.0000, 0.5000, 0.0000) and Rh at (0.0000, 0.5000, 0.3360).

Ac3Si3Rh after structural relaxation, computed with PBE-GGA.

For the raw formation energy, the calculation gives -4.641 eV/f.u.

The structure belongs to space group C2/m (No. 12); the cell edges are 11.6038, 4.4166 and 15.1279 Å and the angles 90.00°, 106.25° and 90.00°. The distinct sites, in fractional coordinates, are Ac at (0.0279, 0.0000, 0.3809), Ac at (0.1233, 0.0000, 0.9300), Ac at (0.2299, 0.0000, 0.2332), Si at (0.0120, 0.5000, 0.2111), Si at (0.0889, 0.5000, 0.0766), Si at (0.1513, 0.5000, 0.5513) and Rh at (0.2350, 0.0000, 0.5616).

AcSiRh2 after structural relaxation, computed with PBE-GGA.

For the raw formation energy, the calculation gives -3.385 eV/f.u.

The structure belongs to space group R-3m (No. 166, hexagonal axes); the cell edges are 4.1532, 4.1532 and 16.3028 Å and the angles 90.00°, 90.00° and 120.00°. The distinct sites, in fractional coordinates, are Ac at (0.0000, 0.0000, 0.0000), Si at (0.0000, 0.0000, 0.5000) and Rh at (0.0000, 0.0000, 0.2078).

Ac2Si3Rh2 after structural relaxation, computed with PBE-GGA.

For the raw formation energy, the calculation gives -4.996 eV/f.u. The excess energy over the best structure of this formula in the dataset comes out at 0 meV per atom.

The structure belongs to space group C2/m (No. 12); the cell edges are 11.5321, 4.0344 and 7.4079 Å and the angles 90.00°, 121.91° and 90.00°. The distinct sites, in fractional coordinates, are Ac at (0.1348, 0.0000, 0.2596), Si at (0.0000, 0.5000, 0.5000), Si at (0.1535, 0.5000, 0.9317) and Rh at (0.1300, 0.0000, 0.7162).

Ac2SiRh3 after structural relaxation, computed with PBE-GGA.

For the raw formation energy, the calculation gives -4.170 eV/f.u. The excess energy over the best structure of this formula in the dataset comes out at 20 meV per atom.

The structure belongs to space group Pmm2 (No. 25); the cell edges are 4.1864, 4.3627 and 7.7002 Å and the angles 90.00°, 90.00° and 90.00°. The distinct sites, in fractional coordinates, are Ac at (0.0000, 0.0000, 0.0000), Ac at (0.5000, 0.0000, 0.4691), Si at (0.0000, 0.5000, 0.6542), Rh at (0.0000, 0.5000, 0.3528), Rh at (0.5000, 0.5000, 0.1348) and Rh at (0.5000, 0.5000, 0.7968).

Ac3Si8Rh3 after structural relaxation, computed with PBE-GGA.

For the raw formation energy, the calculation gives -7.424 eV/f.u.

The structure belongs to space group Immm (No. 71); the cell edges are 4.1652, 10.7099 and 12.0924 Å and the angles 90.00°, 90.00° and 90.00°. The distinct sites, in fractional coordinates, are Ac at (0.0000, 0.0000, 0.0000), Ac at (0.0000, 0.0000, 0.3048), Si at (0.0000, 0.2891, 0.1207), Si at (0.0000, 0.3401, 0.3369), Rh at (0.0000, 0.2098, 0.5000) and Rh at (0.0000, 0.5000, 0.0000).

AcSi4Rh4 after structural relaxation, computed with PBE-GGA.

For the raw formation energy, the calculation gives -7.698 eV/f.u. The excess energy over the best structure of this formula in the dataset comes out at 0 meV per atom.

The structure belongs to space group P4_2/nmc (No. 137, origin choice 2); the cell edges are 6.0167, 6.0167 and 8.2244 Å and the angles 90.00°, 90.00° and 90.00°. The distinct sites, in fractional coordinates, are Ac at (0.2500, 0.7500, 0.2500), Si at (0.0513, 0.2500, 0.0838) and Rh at (0.0139, 0.2500, 0.3802).

Ac2SiRh3 after structural relaxation, computed with PBE-GGA.

For the raw formation energy, the calculation gives -4.293 eV/f.u. The excess energy over the best structure of this formula in the dataset comes out at 0 meV per atom.

The structure belongs to space group Fmmm (No. 69); the cell edges are 8.6297, 8.7059 and 14.9692 Å and the angles 90.00°, 90.00° and 90.00°. The distinct sites, in fractional coordinates, are Ac at (0.0000, 0.2461, 0.0000), Ac at (0.2500, 0.2500, 0.2500), Si at (0.0000, 0.0000, 0.1678), Rh at (0.0000, 0.0000, 0.3229) and Rh at (0.2308, 0.0000, 0.0890).

Ac3Si2Rh5 after structural relaxation, computed with PBE-GGA.

For the raw formation energy, the calculation gives -7.595 eV/f.u.

The structure belongs to space group P4/mbm (No. 127); the cell edges are 10.7129, 10.7129 and 3.6492 Å and the angles 90.00°, 90.00° and 90.00°. The distinct sites, in fractional coordinates, are Ac at (0.0000, 0.0000, 0.0000), Ac at (0.1764, 0.3236, 0.0000), Si at (0.1174, 0.6174, 0.0000), Rh at (0.0000, 0.5000, 0.5000) and Rh at (0.0698, 0.7613, 0.5000).

AcSi3Rh3 after structural relaxation, computed with PBE-GGA.

For the raw formation energy, the calculation gives -4.604 eV/f.u. The excess energy over the best structure of this formula in the dataset comes out at 79 meV per atom.

The structure belongs to space group R-3 (No. 148, hexagonal axes); the cell edges are 6.6399, 6.6399 and 20.6536 Å and the angles 90.00°, 90.00° and 120.00°. The distinct sites, in fractional coordinates, are Ac at (0.0000, 0.0000, 0.1627), Si at (0.0140, 0.4097, 0.3739) and Rh at (0.0064, 0.2497, 0.5937).

AcSi2Rh after structural relaxation, computed with PBE-GGA.

For the raw formation energy, the calculation gives -2.338 eV/f.u. The excess energy over the best structure of this formula in the dataset comes out at 250 meV per atom.

The structure belongs to space group Amm2 (No. 38); the cell edges are 4.5800, 6.1599 and 6.7992 Å and the angles 90.00°, 90.00° and 90.00°. The distinct sites, in fractional coordinates, are Ac at (0.0000, 0.0000, 0.0000), Si at (0.5000, 0.1838, 0.6928) and Rh at (0.5000, 0.0000, 0.3774).

Ac3Si3Rh4 after structural relaxation, computed with PBE-GGA.

For the raw formation energy, the calculation gives -4.298 eV/f.u.

The structure belongs to space group I-43d (No. 220); the cell edges are 9.6547, 9.6547 and 9.6547 Å and the angles 90.00°, 90.00° and 90.00°. The distinct sites, in fractional coordinates, are Ac at (0.0000, 0.2500, 0.8750), Si at (0.0000, 0.2500, 0.3750) and Rh at (0.0712, 0.4288, 0.5712).

AcSiRh after structural relaxation, computed with PBE-GGA.

For the raw formation energy, the calculation gives -2.431 eV/f.u. The excess energy over the best structure of this formula in the dataset comes out at 95 meV per atom.

The structure belongs to space group I4/mmm (No. 139); the cell edges are 4.1756, 4.1756 and 16.5638 Å and the angles 90.00°, 90.00° and 90.00°. The distinct sites, in fractional coordinates, are Ac at (0.0000, 0.0000, 0.1519), Si at (0.0000, 0.0000, 0.4176) and Rh at (0.0000, 0.5000, 0.0000).

AcSi2Rh3 after structural relaxation, computed with PBE-GGA.

For the raw formation energy, the calculation gives -5.298 eV/f.u. The excess energy over the best structure of this formula in the dataset comes out at 0 meV per atom.

The structure belongs to space group C2/m (No. 12); the cell edges are 15.0002, 4.1235 and 7.7330 Å and the angles 90.00°, 114.07° and 90.00°. The distinct sites, in fractional coordinates, are Ac at (0.1599, 0.0000, 0.0850), Si at (0.0159, 0.5000, 0.1826), Si at (0.1704, 0.0000, 0.6169), Rh at (0.0248, 0.0000, 0.3403), Rh at (0.1141, 0.5000, 0.7146) and Rh at (0.1776, 0.5000, 0.4281).

Ac2SiRh after structural relaxation, computed with PBE-GGA.

For the raw formation energy, the calculation gives -1.687 eV/f.u.

The structure belongs to space group P4/mmm (No. 123); the cell edges are 5.2022, 5.2022 and 3.9825 Å and the angles 90.00°, 90.00° and 90.00°. The distinct sites, in fractional coordinates, are Ac at (0.0000, 0.5000, 0.0000), Si at (0.0000, 0.0000, 0.5000) and Rh at (0.5000, 0.5000, 0.5000).

Number 1: total magnetization 0.0 μB/f.u.. Number 2: total magnetization 0.0 μB/f.u.. Number 3: total magnetization 0.0 μB/f.u.. Number 4: total magnetization 0.0 μB/f.u.. Number 5: total magnetization 0.0 μB/f.u.. Number 6: total magnetization 0.0 μB/f.u.. Number 7: total magnetization 0.0 μB/f.u.. Number 8: total magnetization 0.0 μB/f.u.. Number 9: total magnetization 0.0 μB/f.u.. Number 10: total magnetization 0.0 μB/f.u.. Number 11: total magnetization 0.0 μB/f.u.. Number 12: total magnetization 0.0 μB/f.u.. Number 13: total magnetization 0.0 μB/f.u.. Number 14: total magnetization 0.0 μB/f.u.. Number 15: total magnetization 0.0 μB/f.u.. Number 16: total magnetization 0.0 μB/f.u.. Number 17: total magnetization 0.0 μB/f.u.. Number 18: total magnetization 0.0 μB/f.u.. Number 19: total magnetization 0.0 μB/f.u.. Number 20: total magnetization 0.0 μB/f.u..